Record 1
Below is crystalline SrCd6Pd2 at its relaxed geometry, with properties calculated at the PBE-GGA level.

a = 6.0807 Å, b = 6.6271 Å, c = 6.6271 Å
α = 54.43°, β = 99.93°, γ = 99.93°
Closest atoms and distances in Å follow each position.
Element x y z (fractional)
Sr 0.0000 0.0000 0.0000  4 Pd 3.32, 8 Cd 3.38-3.42
Cd 0.2581 0.9846 0.5034  2 Pd 2.79-2.86, 3 Cd 2.92-3.09
Cd 0.7419 0.0154 0.4966  2 Pd 2.79-2.86, 3 Cd 2.92-3.09
Cd 0.7419 0.4966 0.0154  2 Pd 2.79-2.86, 3 Cd 2.92-3.09
Cd 0.5000 0.2590 0.7410  4 Cd 2.92-3.14, 2 Pd 2.92
Cd 0.5000 0.7410 0.2590  4 Cd 2.92-3.14, 2 Pd 2.92
Cd 0.2581 0.5034 0.9846  2 Pd 2.79-2.86, 3 Cd 2.92-3.09
Pd 0.0896 0.4034 0.4034  1 Pd 2.71, 6 Cd 2.79-2.92
Pd 0.9104 0.5966 0.5966  1 Pd 2.71, 6 Cd 2.79-2.92

Results
Calculated formation energy (meV/atom): -226
Calculated volume (Å³ per cell): 213.09

---

Record 2
Below is crystalline AlBr2Cl at its relaxed geometry, with properties calculated at the PBE-GGA level.

a = 3.8052 Å, b = 6.1466 Å, c = 7.3636 Å
α = 65.62°, β = 74.93°, γ = 89.97°
Closest atoms and distances in Å follow each position.
Element x y z (fractional)
Al 0.1929 0.1190 0.8955  1 Cl 2.09, 1 Br 2.25
Br 0.6935 0.3757 0.8939  2 Al 2.47
Br 0.0411 0.7841 0.1971  1 Al 2.25
Cl 0.3354 0.0893 0.6127  1 Al 2.09

Results
Calculated volume (Å³ per cell): 150.36
Relative energy among the computed polymorphs (meV per atom): 0
Energy relative to the elements, uncorrected (eV/f.u.): -4.777

---

Record 3
Below is crystalline UTaTe4 at its relaxed geometry, with properties calculated at the PBE-GGA level.

a = 6.3926 Å, b = 7.2141 Å, c = 7.2141 Å
α = 98.03°, β = 91.69°, γ = 91.69°
Closest atoms and distances in Å follow each position.
Element x y z (fractional)
U 0.2500 0.9884 0.0116  8 Te 3.08-3.29, 2 U 3.21
U 0.7500 0.0116 0.9884  8 Te 3.08-3.29, 2 U 3.21
Ta 0.7500 0.5554 0.4446  6 Te 2.81-2.87
Ta 0.2500 0.4446 0.5554  6 Te 2.81-2.87
Te 0.9601 0.6350 0.7954  2 Ta 2.81-2.83
Te 0.9824 0.8584 0.3208  1 Ta 2.87, 1 Te 3.06, 2 U 3.08-3.13
Te 0.5399 0.2046 0.3650  2 Ta 2.81-2.83
Te 0.5176 0.6792 0.1416  1 Ta 2.87, 1 Te 3.06, 2 U 3.08-3.13
Te 0.4824 0.3208 0.8584  1 Ta 2.87, 1 Te 3.06, 2 U 3.08-3.13
Te 0.4601 0.7954 0.6350  2 Ta 2.81-2.83
Te 0.0176 0.1416 0.6792  1 Ta 2.87, 1 Te 3.06, 2 U 3.08-3.13
Te 0.0399 0.3650 0.2046  2 Ta 2.81-2.83

Results
Calculated volume (Å³ per cell): 329.10
Energy relative to the elements, uncorrected (eV/f.u.): -1.465

---

Record 4
Below is crystalline Ba2AgW at its relaxed geometry, with properties calculated at the PBE-GGA level.

a = 3.9330 Å, b = 3.9426 Å, c = 9.3137 Å
α = 64.93°, β = 90.00°, γ = 90.00°
Closest atoms and distances in Å follow each position.
Element x y z (fractional)
W 0.5000 0.2500 0.2500  8 Ba 3.45-3.46
Ba 0.0000 0.9931 0.0076  4 W 3.45-3.46, 4 Ag 3.53
Ba 0.0000 0.5069 0.4924  4 W 3.45-3.46, 4 Ag 3.53
Ag 0.5000 0.7500 0.7500  8 Ba 3.53, 4 Ag 3.93-3.94

Results
Calculated formation energy (meV/atom): 920
Calculated volume (Å³ per cell): 130.82
Relative energy among the computed polymorphs (meV per atom): 24

---

Record 5
Below is crystalline BaMg2Pb at its relaxed geometry, with properties calculated at the PBE-GGA level.

a = 11.4388 Å, b = 11.4388 Å, c = 11.4388 Å
α = 18.50°, β = 18.50°, γ = 18.50°
Closest atoms and distances in Å follow each position.
Element x y z (fractional)
Ba 0.7500 0.7500 0.7500  6 Ba 3.68, 6 Mg 3.75
Mg 0.9916 0.9916 0.9916  3 Pb 3.30, 6 Mg 3.68
Mg 0.5084 0.5084 0.5084  3 Pb 3.30, 6 Mg 3.68
Pb 0.2500 0.2500 0.2500  6 Mg 3.30, 6 Pb 3.68

Results
Calculated formation energy (meV/atom): 124
Calculated volume (Å³ per cell): 131.60

---

Record 6
Below is crystalline LiLa4Sc at its relaxed geometry, with properties calculated at the PBE-GGA level.

a = 6.6703 Å, b = 6.6703 Å, c = 6.6703 Å
α = 60.00°, β = 60.00°, γ = 60.00°
Closest atoms and distances in Å follow each position.
Element x y z (fractional)
Li 0.7500 0.7500 0.7500  12 La 3.92, 4 Sc 4.08
La 0.8847 0.3718 0.3718  6 La 3.25-3.42
La 0.3718 0.3718 0.8847  6 La 3.25-3.42
La 0.3718 0.8847 0.3718  6 La 3.25-3.42
La 0.3718 0.3718 0.3718  6 La 3.25-3.42
Sc 0.0000 0.0000 0.0000  12 La 3.90, 4 Li 4.08

Results
Calculated formation energy (meV/atom): 405
Calculated volume (Å³ per cell): 209.85

---

Record 7
Below is crystalline Ce8HgAu2 at its relaxed geometry, with properties calculated at the PBE-GGA level.

a = 9.2800 Å, b = 6.2754 Å, c = 6.2754 Å
α = 67.49°, β = 110.90°, γ = 110.90°
Closest atoms and distances in Å follow each position.
Element x y z (fractional)
Ce 0.3210 0.3053 0.7945  1 Ce 2.66
Ce 0.6790 0.2055 0.6947  1 Ce 2.66
Ce 0.0357 0.6998 0.6998  1 Ce 2.74, 1 Au 2.95
Ce 0.9643 0.3002 0.3002  1 Ce 2.74, 1 Au 2.95
Ce 0.3210 0.7945 0.3053  1 Ce 2.66
Ce 0.6790 0.6947 0.2055  1 Ce 2.66
Ce 0.7243 0.6597 0.6597  3 Ce 2.66-2.74
Ce 0.2757 0.3403 0.3403  3 Ce 2.66-2.74
Hg 0.0000 0.0000 0.0000  8 Ce 3.29-3.37
Au 0.3869 0.8192 0.8192  7 Ce 2.95-3.26
Au 0.6131 0.1808 0.1808  7 Ce 2.95-3.26

Results
Calculated formation energy (meV/atom): -238
Calculated volume (Å³ per cell): 304.95
Relative energy among the computed polymorphs (meV per atom): 0

---

Record 8
Below is crystalline TbPm2Pa at its relaxed geometry, with properties calculated at the PBE-GGA level.

a = 3.4393 Å, b = 3.4393 Å, c = 10.4458 Å
α = 90.00°, β = 90.00°, γ = 90.00°
Closest atoms and distances in Å follow each position.
Element x y z (fractional)
Pa 0.5000 0.5000 0.0000  8 Pm 3.43, 4 Pa 3.44
Tb 0.5000 0.5000 0.5000  4 Tb 3.44, 8 Pm 3.71
Pm 0.0000 0.0000 0.7684  4 Pa 3.43, 4 Pm 3.44, 4 Tb 3.71
Pm 0.0000 0.0000 0.2316  4 Pa 3.43, 4 Pm 3.44, 4 Tb 3.71

Results
Calculated formation energy (meV/atom): 159
Calculated volume (Å³ per cell): 123.56
Relative energy among the computed polymorphs (meV per atom): 0